No. 1
BiPbS2F: relaxed, PBE.

Cell: 4.054 4.054 14.245 Å, 90.00 90.00 90.00°
Sites, in units of the cell vectors:
Bi: 0.250 0.250 0.129
Bi: 0.750 0.750 0.871
Pb: 0.250 0.250 0.610
Pb: 0.750 0.750 0.390
S: 0.250 0.250 0.307
S: 0.250 0.250 0.894
S: 0.750 0.750 0.106
S: 0.750 0.750 0.693
F: 0.250 0.750 0.500
F: 0.750 0.250 0.500

Calculated values
E_tot = -4.528 eV/atom
SG = No. 129
calculated volume = 23.42 Å³/atom
E_form (uncorrected) = -0.99 eV per atom
M_tot = 0.0000 μB per atom


No. 2
ScBiPb2F: relaxed, PBE.

Cell: 6.101 6.101 5.513 Å, 90.00 90.00 90.00°
Sites, in units of the cell vectors:
Sc: 0.000 0.000 0.000
Bi: 0.000 0.000 0.500
Pb: 0.000 0.500 0.500
Pb: 0.500 0.000 0.500
F: 0.500 0.500 0.000

Calculated values
E_tot = -3.629 eV/atom
SG = No. 123
calculated volume = 41.04 Å³/atom
E_form (uncorrected) = 0.27 eV per atom
M_tot = 0.0000 μB per atom
N(E_F) = 1.295 states/eV per atom


No. 3
BiPbSe2F: relaxed, PBE.

Cell: 4.172 4.172 14.865 Å, 90.00 90.00 90.00°
Sites, in units of the cell vectors:
Bi: 0.250 0.250 0.132
Bi: 0.750 0.750 0.868
Pb: 0.250 0.250 0.604
Pb: 0.750 0.750 0.396
Se: 0.250 0.250 0.311
Se: 0.250 0.250 0.900
Se: 0.750 0.750 0.100
Se: 0.750 0.750 0.689
F: 0.250 0.750 0.500
F: 0.750 0.250 0.500

Calculated values
E_tot = -4.275 eV/atom
SG = No. 129
calculated volume = 25.88 Å³/atom
E_form (uncorrected) = -0.99 eV per atom
M_tot = 0.0000 μB per atom


No. 4
Bi2TePbF: relaxed, PBE.

Cell: 6.461 6.461 4.396 Å, 90.00 90.00 90.00°
Sites, in units of the cell vectors:
Bi: 0.000 0.500 0.000
Bi: 0.500 0.000 0.000
Te: 0.000 0.000 0.000
Pb: 0.500 0.500 0.500
F: 0.000 0.000 0.500

Calculated values
E_tot = -3.443 eV/atom
SG = No. 123
calculated volume = 36.70 Å³/atom
E_form (uncorrected) = -0.15 eV per atom
M_tot = 0.0000 μB per atom
N(E_F) = 0.825 states/eV per atom


No. 5
BiTe2PbF: relaxed, PBE.

Cell: 5.930 5.930 4.478 Å, 90.00 90.00 90.00°
Sites, in units of the cell vectors:
Bi: 0.000 0.000 0.000
Te: 0.000 0.500 0.500
Te: 0.500 0.000 0.500
Pb: 0.500 0.500 0.500
F: 0.500 0.500 0.000

Calculated values
E_tot = -3.582 eV/atom
SG = No. 123
calculated volume = 31.49 Å³/atom
E_form (uncorrected) = -0.43 eV per atom
M_tot = 0.0000 μB per atom
N(E_F) = 0.378 states/eV per atom


No. 6
Tl2BiPbF: relaxed, PBE.

Cell: 5.273 5.273 5.201 Å, 90.00 90.00 90.00°
Sites, in units of the cell vectors:
Tl: 0.000 0.500 0.000
Tl: 0.500 0.000 0.000
Bi: 0.000 0.000 0.500
Pb: 0.500 0.500 0.500
F: 0.500 0.500 0.000

Calculated values
E_tot = -3.429 eV/atom
SG = No. 123
calculated volume = 28.93 Å³/atom
E_form (uncorrected) = -0.59 eV per atom
M_tot = 0.0000 μB per atom
N(E_F) = 0.272 states/eV per atom


No. 7
Tl2BiPbF6: relaxed, PBE.

Cell: 6.339 6.339 6.339 Å, 66.48 66.48 66.48°
Sites, in units of the cell vectors:
Tl: 0.249 0.249 0.249
Tl: 0.751 0.751 0.751
Bi: 0.000 0.000 0.000
Pb: 0.500 0.500 0.500
F: 0.149 0.336 0.715
F: 0.285 0.851 0.664
F: 0.336 0.715 0.149
F: 0.664 0.285 0.851
F: 0.715 0.149 0.336
F: 0.851 0.664 0.285

Calculated values
E_tot = -4.313 eV/atom
SG = No. 148
calculated volume = 20.52 Å³/atom
E_form (uncorrected) = -1.96 eV per atom
M_tot = 0.1016 μB per atom
N(E_F) = 0.067 states/eV per atom


No. 8
ZrBiPb2F: relaxed, PBE.

Cell: 5.778 5.778 4.530 Å, 90.00 90.00 90.00°
Sites, in units of the cell vectors:
Zr: 0.000 0.000 0.000
Bi: 0.500 0.500 0.000
Pb: 0.000 0.500 0.500
Pb: 0.500 0.000 0.500
F: 0.000 0.000 0.500

Calculated values
E_tot = -4.698 eV/atom
SG = No. 123
calculated volume = 30.25 Å³/atom
E_form (uncorrected) = -0.35 eV per atom
M_tot = 0.3013 μB per atom
N(E_F) = 1.048 states/eV per atom


Repeat the eighth record exactly.
ZrBiPb2F: relaxed, PBE.

Cell: 5.778 5.778 4.530 Å, 90.00 90.00 90.00°
Sites, in units of the cell vectors:
Zr: 0.000 0.000 0.000
Bi: 0.500 0.500 0.000
Pb: 0.000 0.500 0.500
Pb: 0.500 0.000 0.500
F: 0.000 0.000 0.500

Calculated values
E_tot = -4.698 eV/atom
SG = No. 123
calculated volume = 30.25 Å³/atom
E_form (uncorrected) = -0.35 eV per atom
M_tot = 0.3013 μB per atom
N(E_F) = 1.048 states/eV per atom